Material: LiSm2OsO6
Method: DFT, PBE
State: relaxed

## Properties
Crystal system: monoclinic
Calculated total energy, eV/cell: -153.14
Density, g/cm³: 8.08

The structure in CIF format:
```
data_LiSm2OsO6
_symmetry_space_group_name_H-M 'P 1 21/c 1'
_symmetry_Int_Tables_number 14
_symmetry_space_group_name_Hall '-P 2ybc'
_cell_length_a 5.416
_cell_length_b 5.823
_cell_length_c 9.392
_cell_angle_alpha 90.00
_cell_angle_beta 124.47
_cell_angle_gamma 90.00
loop_
_atom_site_label
_atom_site_fract_x
_atom_site_fract_y
_atom_site_fract_z
Li1 0.000 0.000 0.000
Sm1 0.229 0.075 0.748
Os1 0.500 0.000 0.500
O1 0.148 0.183 0.448
O2 0.265 0.709 0.441
O3 0.365 0.038 0.256
```

---

Material: Nd15Ho4Sc
Method: DFT, PBE
State: relaxed

## Properties
Crystal system: tetragonal
Calculated total energy, eV/cell: -95.84
Density, g/cm³: 7.05
Energy of formation from the pure elements, eV per atom: 0.0159

The structure in CIF format:
```
data_Nd15Ho4Sc
_symmetry_space_group_name_H-M 'P 4/m m m'
_symmetry_Int_Tables_number 123
_symmetry_space_group_name_Hall '-P 4 2'
_cell_length_a 5.140
_cell_length_b 5.140
_cell_length_c 25.582
_cell_angle_alpha 90.00
_cell_angle_beta 90.00
_cell_angle_gamma 90.00
loop_
_atom_site_label
_atom_site_fract_x
_atom_site_fract_y
_atom_site_fract_z
Nd1 0.000 0.000 0.000
Nd2 0.000 0.000 0.198
Nd3 0.000 0.000 0.399
Nd4 0.000 0.500 0.097
Nd5 0.000 0.500 0.299
Nd6 0.000 0.500 0.500
Ho1 0.500 0.500 0.198
Ho2 0.500 0.500 0.399
Sc1 0.500 0.500 0.000
```

---

> Look up the calculated total energy of the first one.

-153.14 eV/cell

---

> Which formula does entry 2 have?

Nd15Ho4Sc